A | The following is a PBE+U calculation of a geometry-optimized WNO structure, from Alexandria.

Cell and atoms, written as POSCAR:
```
WNO
1.0
1.597 0.922 5.005
-1.597 0.922 5.005
0.000 -1.844 5.005
W N O
1 1 1
Cartesian
0.000 0.000 0.000
0.000 0.000 10.856
0.000 0.000 3.937
```

---

B | The following is a PBE+U calculation of a geometry-optimized WNO structure, from Alexandria.

Cell and atoms, written as POSCAR:
```
WNO
1.0
5.104 0.000 0.000
0.000 2.778 0.000
0.000 0.000 9.527
W N O
4 4 4
Cartesian
0.576 0.694 1.229
1.976 2.083 5.992
3.128 0.694 3.535
4.529 2.083 8.299
1.113 2.083 9.318
1.439 0.694 4.555
3.665 2.083 4.972
3.991 0.694 0.209
0.618 0.694 6.973
1.934 2.083 2.209
3.170 0.694 7.318
4.486 2.083 2.555
```

---

Energy comparison, zero being the most stable, in meV per atom: A 0; B 296.

---

A | The following is a PBE+U calculation of a geometry-optimized W2NO structure, from Alexandria.

Cell and atoms, written as POSCAR:
```
W2NO
1.0
-2.441 2.441 4.856
2.441 -2.441 4.856
2.441 2.441 -4.856
W N O
4 2 2
Cartesian
3.661 1.154 -1.214
1.154 1.220 1.214
-1.220 1.287 3.642
1.287 1.220 6.070
0.000 0.000 0.000
0.000 2.441 2.428
2.441 0.000 2.428
0.000 0.000 4.856
```

---

B | The following is a PBE+U calculation of a geometry-optimized W2NO structure, from Alexandria.

Cell and atoms, written as POSCAR:
```
W2NO
1.0
0.000 2.813 2.813
2.813 0.000 2.813
2.813 2.813 0.000
W N O
2 1 1
Cartesian
1.407 1.407 1.407
4.220 4.220 4.220
0.000 0.000 0.000
2.813 2.813 2.813
```

---

Energy comparison, zero being the most stable, in meV per atom: A 0; B 899.